(1)
First-principles (PBE) data for a relaxed LaTb2Y7 crystal, as listed in Alexandria via LeMat-Bulk.

a = 6.219 Å, b = 9.497 Å, c = 6.206 Å
α = 108.98°, β = 99.71°, γ = 102.56°
Positions (direct):
Y  0.500  0.101  0.799
Tb  0.499  0.698  0.599
Tb  0.501  0.302  0.401
Y  0.999  0.798  0.398
Y  0.500  0.500  0.000
Y  0.002  0.401  0.202
Y  0.500  0.899  0.201
Y  0.001  0.202  0.602
La  0.000  0.000  0.000
Y  0.998  0.599  0.798

Results
Formation enthalpy at 0 K   0.0248 eV/atom
ΔE to the lowest computed polymorph   0 meV/atom

***

(2)
First-principles (PBE) data for a relaxed LaTb12Y5 crystal, as listed in Alexandria via LeMat-Bulk.

a = 15.162 Å, b = 10.723 Å, c = 5.056 Å
α = 90.00°, β = 90.00°, γ = 45.03°
Positions (direct):
Tb  0.501  0.332  0.500
Tb  0.667  0.000  0.000
Tb  0.833  0.668  0.500
Tb  0.831  0.000  0.500
Tb  0.167  0.332  0.500
Tb  0.336  0.665  0.000
Y  0.168  0.663  0.500
Tb  0.664  0.335  0.000
Tb  0.001  0.335  0.000
La  0.000  0.000  0.000
Y  0.832  0.337  0.500
Tb  0.499  0.668  0.500
Tb  0.999  0.665  0.000
Tb  0.169  0.000  0.500
Y  0.500  0.000  0.500
Y  0.334  0.333  0.000
Y  0.666  0.667  0.000
Tb  0.333  0.000  0.000

Results
Formation enthalpy at 0 K   0.0212 eV/atom

***

(3)
First-principles (PBE) data for a relaxed La3Tb7Y2 crystal, as listed in Alexandria via LeMat-Bulk.

a = 3.570 Å, b = 6.408 Å, c = 18.213 Å
α = 104.13°, β = 90.00°, γ = 90.00°
Positions (direct):
Y  0.500  0.620  0.673
Tb  0.500  0.943  0.166
Tb  0.500  0.057  0.834
Tb  0.000  0.436  0.166
Tb  0.000  0.564  0.834
Tb  0.500  0.247  0.500
Tb  0.500  0.753  0.500
La  0.000  0.114  0.660
La  0.500  0.500  0.000
Y  0.500  0.380  0.327
Tb  0.000  0.000  0.000
La  0.000  0.886  0.340

Results
Formation enthalpy at 0 K   0.0863 eV/atom